An optimized crystal structure of VSbP2O8, computed with GGA+U.

```
VSbP2O8
1.0
-3.8724 -2.9504 1.3104
-0.1529 -1.6477 -10.9610
3.7198 -4.5982 0.6393
O P Sb V
16 4 2 2
Direct
0.2864 0.8837 0.7500
0.3305 0.9403 0.2500
0.7135 0.1163 0.2500
0.2811 0.1385 0.0421
0.2504 0.6891 0.4501
0.2811 0.1385 0.4579
0.0638 0.4870 0.2500
0.2504 0.6892 0.0499
0.7189 0.8615 0.5421
0.7189 0.8615 0.9579
0.6695 0.0597 0.7500
0.7496 0.3108 0.5499
0.9362 0.5130 0.7500
0.7942 0.6642 0.2500
0.2058 0.3358 0.7500
0.7496 0.3108 0.9501
0.5965 0.9217 0.7500
0.9317 0.3772 0.7500
0.0684 0.6228 0.2500
0.4035 0.0783 0.2500
0.9841 0.2760 0.2500
0.0159 0.7240 0.7500
0.5537 0.8009 0.2500
0.4463 0.1991 0.7500
```

Results
- final energy (eV/atom) = -7.162
- space-group type = P2_1/m (11)
- spin magnetization (μB/atom) = 0.167
- Fermi-level density of states (states/eV/f.u.) = 0.000